[1]
The following is a DFT calculation (PBE) of crystalline SrUPb2O6 at its relaxed geometry.

Geometry as extended XYZ:
```
20
Lattice="5.9849 0.0000 0.0370 0.0000 6.4754 0.0000 0.1058 0.0000 8.8255" Properties=species:S:1:pos:R:3 pbc="T T T"
Sr 2.9925 0.0000 0.0185
Sr 0.0529 3.2377 4.4127
U 3.0454 0.0000 4.4313
U 0.0000 3.2377 0.0000
Pb 5.9821 6.1920 2.4546
Pb 3.0425 3.5211 6.8489
Pb 0.1087 0.2834 6.4079
Pb 3.0482 2.9543 2.0137
O 1.8581 4.2611 0.2602
O 4.9034 5.4520 4.6915
O 4.2326 2.2143 8.6023
O 1.1873 1.0234 4.1710
O 2.0929 4.7774 3.8196
O 5.1383 4.9358 8.2508
O 3.9978 1.6981 5.0429
O 0.9525 1.5396 0.6117
O 5.3367 3.6412 2.0540
O 2.3971 6.0720 6.4482
O 0.7540 2.8343 6.8085
O 3.6936 0.4035 2.4143
```

Calculated values
Raw total energy in hartree per atom: -0.2702
Magnetic moment in μB/f.u.: 0.0
Uncorrected formation energy in eV per atom: -2.338

=====

[2]
The following is a DFT calculation (PBE) of crystalline Pm7InCo2 at its relaxed geometry.

Geometry as extended XYZ:
```
10
Lattice="-2.1325 -3.8431 2.4948 6.6666 -0.6322 4.7247 -5.5395 5.1366 3.1774" Properties=species:S:1:pos:R:3 pbc="T T T"
Pm 3.1027 1.0521 4.2730
Pm -1.9757 3.4523 3.6292
Pm -2.4570 -0.3498 2.4797
Pm 1.4515 1.0112 7.9172
Pm 0.7337 -1.8578 2.8842
Pm -1.7391 2.5191 7.5127
Pm -0.5027 0.3307 5.1985
In 0.0000 0.0000 0.0000
Co 1.9488 -0.8280 5.5092
Co -2.9543 1.4893 4.8877
```

Calculated values
Raw total energy in hartree per atom: -0.1848
Magnetic moment in μB/f.u.: 0.0
ΔH_f (0 K) in eV per atom: -0.01

=====

[3]
The following is a DFT calculation (PBE) of crystalline TePt2N2 at its relaxed geometry.

Geometry as extended XYZ:
```
5
Lattice="-0.4439 1.2169 4.0413 -2.5275 -3.3310 0.7254 2.4382 -3.7630 3.6291" Properties=species:S:1:pos:R:3 pbc="T T T"
Te 0.0000 0.0000 0.0000
Pt 0.2543 -1.8016 5.0269
Pt -0.7875 -4.0756 3.3689
N 0.6161 -2.5065 3.0506
N -1.1493 -3.3707 5.3452
```

Calculated values
Offset from the most stable computed form in meV/atom: 576
Raw total energy in hartree per atom: -0.1941
Magnetic moment in μB/f.u.: 0.0
Uncorrected formation energy in eV per atom: 1.093